No. 1
The following is a DFT calculation (PBE-GGA) of a relaxed KNaSn2Cl6 crystal.

Results
**Raw formation energy**: -13.65 eV per formula unit
**Symmetry**: P1

a b c (Å): 7.608 7.629 7.860
angles (deg): 90.15 118.80 119.89
Positions (direct):
K 0.000 0.000 0.000
Na 0.029 0.514 0.542
Sn 0.405 0.202 0.607
Sn 0.414 0.706 0.121
Cl 0.228 0.829 0.368
Cl 0.272 0.904 0.868
Cl 0.501 0.595 0.866
Cl 0.539 0.397 0.369
Cl 0.964 0.367 0.868
Cl 0.971 0.140 0.370

***

No. 2
The following is a DFT calculation (PBE-GGA) of a relaxed Ta3Br crystal.

Results
**Raw formation energy**: 2.14 eV per formula unit
**Offset from the most stable computed form**: 0.184 eV per atom
**Symmetry**: P2/m

a b c (Å): 3.002 4.563 5.521
angles (deg): 90.00 92.65 90.00
Positions (direct):
Ta 0.000 0.000 0.000
Ta 0.427 0.500 0.233
Ta 0.573 0.500 0.767
Br 0.000 0.000 0.500

***

No. 3
The following is a DFT calculation (PBE-GGA) of a relaxed Nb4B2Ru5 crystal.

Results
**DFT formation energy**: -270 meV/atom
**Symmetry**: P2/m

a b c (Å): 6.346 3.140 7.941
angles (deg): 90.00 96.03 90.00
Positions (direct):
Nb 0.178 0.000 0.343
Nb 0.225 0.000 0.939
Nb 0.775 0.000 0.061
Nb 0.822 0.000 0.657
B 0.061 0.500 0.114
B 0.939 0.500 0.886
Ru 0.158 0.500 0.654
Ru 0.440 0.500 0.171
Ru 0.500 0.500 0.500
Ru 0.560 0.500 0.829
Ru 0.842 0.500 0.346

***

No. 4
The following is a DFT calculation (PBE-GGA) of a relaxed KRe2Si crystal.

Results
**Raw formation energy**: 2.63 eV per formula unit
**Symmetry**: Cmm2

a b c (Å): 3.050 4.658 9.981
angles (deg): 90.00 90.00 90.00
Positions (direct):
K 0.000 0.000 0.000
K 0.500 0.500 0.000
Re 0.000 0.000 0.516
Re 0.000 0.500 0.301
Re 0.500 0.000 0.301
Re 0.500 0.500 0.516
Si 0.000 0.500 0.719
Si 0.500 0.000 0.719